# LiAsNF2 GGA-PBE optimized geometry
data_LiAsNF2
_space_group_name_H-M_alt 'P 4/m m m'
_space_group_IT_number 123
_space_group_name_Hall '-P 4 2'
_cell_length_a 4.321
_cell_length_b 4.321
_cell_length_c 3.659
_cell_angle_alpha 90.00
_cell_angle_beta 90.00
_cell_angle_gamma 90.00
loop_
_atom_site_label
_atom_site_type_symbol
_atom_site_fract_x
_atom_site_fract_y
_atom_site_fract_z
Li1 Li 0.000 0.000 0.000
As1 As 0.500 0.500 0.500
N1 N 0.500 0.500 0.000
F1 F 0.000 0.500 0.500
# * E_tot: -4.621 eV per atom
# * volume: 68 Å³ per cell
# * magnetic moment: 0.00 Bohr magnetons per cell
# * formation energy from raw total energies: -20.638 kcal/mol of atoms
# * crystal system: tetragonal